Entry 1:
Computed, not measured: a relaxed structure of ZnCu2Mo at the PBE-GGA level of DFT.

Cell: 2.646 4.548 4.594 Å, 90.00 90.00 90.00°
Space group Pmmm (No. 47)
Symmetry-distinct sites (fractional):
Zn: 0.000 0.000 0.000 (multiplicity 1)
Cu: 0.000 0.500 0.500 (multiplicity 1)
Cu: 0.500 0.500 0.000 (multiplicity 1)
Mo: 0.500 0.000 0.500 (multiplicity 1)

- Raw total energy: -4.812 eV per atom
- D(E_F): 0.70 states/eV per atom

Entry 2:
Computed, not measured: a relaxed structure of ErTmRu at the PBE-GGA level of DFT.

Cell: 14.058 3.451 6.663 Å, 90.00 112.11 90.00°
Space group C2/m (No. 12)
Symmetry-distinct sites (fractional):
Er: 0.021 0.000 0.258 (multiplicity 4)
Tm: 0.218 0.500 0.757 (multiplicity 4)
Ru: 0.118 0.500 0.052 (multiplicity 4)

- Raw total energy: -6.407 eV per atom
- D(E_F): 0.72 states/eV per atom
- Excess energy over the best structure of this formula in the dataset: 0.29 eV/f.u.

Entry 3:
Computed, not measured: a relaxed structure of PrY6Pd3 at the PBE-GGA level of DFT.

Cell: 11.474 13.279 7.293 Å, 90.00 90.00 90.00°
Space group Cmc2_1 (No. 36)
Symmetry-distinct sites (fractional):
Pr: 0.000 0.185 0.000 (multiplicity 4)
Y: 0.000 0.269 0.478 (multiplicity 4)
Y: 0.000 0.469 0.124 (multiplicity 4)
Y: 0.170 0.040 0.629 (multiplicity 8)
Y: 0.227 0.308 0.781 (multiplicity 8)
Pd: 0.000 0.073 0.339 (multiplicity 4)
Pd: 0.188 0.398 0.416 (multiplicity 8)

- Raw total energy: -6.409 eV per atom
- D(E_F): 1.17 states/eV per atom

Entry 4:
Computed, not measured: a relaxed structure of CsRbTaCr2 at the PBE-GGA level of DFT.

Cell: 5.035 5.035 6.565 Å, 90.00 90.00 90.00°
Space group P4/mmm (No. 123)
Symmetry-distinct sites (fractional):
Cs: 0.000 0.000 0.000 (multiplicity 1)
Rb: 0.500 0.500 0.000 (multiplicity 1)
Ta: 0.500 0.500 0.500 (multiplicity 1)
Cr: 0.000 0.500 0.500 (multiplicity 2)

- Raw total energy: -5.097 eV per atom
- D(E_F): 1.14 states/eV per atom